w | DFT (PBE) results for crystalline LuTlGeTe3 at its relaxed geometry.

Cell lengths 7.916, 7.916, 11.595 Å; angles 90.00, 90.00, 146.50 degrees
Atoms (fractional coordinates):
1 Ge 0.965 0.035 0.250
2 Ge 0.035 0.965 0.750
3 Lu 0.500 0.500 0.000
4 Lu 0.500 0.500 0.500
5 Te 0.865 0.135 0.043
6 Te 0.578 0.422 0.250
7 Te 0.865 0.135 0.457
8 Te 0.135 0.865 0.543
9 Te 0.422 0.578 0.750
10 Te 0.135 0.865 0.957
11 Tl 0.250 0.750 0.250
12 Tl 0.750 0.250 0.750

Results
**Total magnetic moment**: 0.01 Bohr magnetons per cell

---

x | DFT (PBE) results for crystalline LuTlGeTe3 at its relaxed geometry.

Cell lengths 8.944, 4.227, 11.464 Å; angles 90.00, 107.85, 90.00 degrees
Atoms (fractional coordinates):
1 Ge 0.122 0.750 0.053
2 Ge 0.878 0.250 0.947
3 Lu 0.363 0.250 0.340
4 Lu 0.637 0.750 0.660
5 Te 0.340 0.250 0.068
6 Te 0.107 0.750 0.286
7 Te 0.618 0.750 0.392
8 Te 0.382 0.250 0.608
9 Te 0.893 0.250 0.714
10 Te 0.660 0.750 0.932
11 Tl 0.764 0.250 0.218
12 Tl 0.236 0.750 0.782

Results
**Total magnetic moment**: 0.00 Bohr magnetons per cell

---

Most stable: x

---

w | DFT (PBE) results for crystalline MgNbReGe at its relaxed geometry.

Cell lengths 4.477, 4.477, 4.477 Å; angles 60.00, 60.00, 60.00 degrees
Atoms (fractional coordinates):
1 Ge 0.000 0.000 0.000
2 Mg 0.750 0.750 0.750
3 Nb 0.500 0.500 0.500
4 Re 0.250 0.250 0.250

Results
**Total magnetic moment**: 0.00 Bohr magnetons per cell

---

x | DFT (PBE) results for crystalline MgNbReGe at its relaxed geometry.

Cell lengths 4.489, 4.489, 4.489 Å; angles 60.00, 60.00, 60.00 degrees
Atoms (fractional coordinates):
1 Ge 0.250 0.250 0.250
2 Mg 0.750 0.750 0.750
3 Nb 0.500 0.500 0.500
4 Re 0.000 0.000 0.000

Results
**Total magnetic moment**: 0.49 Bohr magnetons per cell

---

Most stable: w

---

w | DFT (PBE) results for crystalline MgZnGeO4 at its relaxed geometry.

Cell lengths 5.937, 5.937, 8.272 Å; angles 90.00, 90.00, 90.00 degrees
Atoms (fractional coordinates):
1 Ge 0.500 0.248 0.000
2 Ge 0.752 0.500 0.250
3 Ge 0.500 0.752 0.500
4 Ge 0.248 0.500 0.750
5 Mg 0.252 0.748 0.125
6 Mg 0.252 0.252 0.375
7 Mg 0.748 0.252 0.625
8 Mg 0.748 0.748 0.875
9 O 0.271 0.031 0.006
10 O 0.729 0.484 0.019
11 O 0.516 0.271 0.231
12 O 0.969 0.729 0.244
13 O 0.969 0.271 0.256
14 O 0.516 0.729 0.269
15 O 0.729 0.516 0.481
16 O 0.271 0.969 0.494
17 O 0.729 0.969 0.506
18 O 0.271 0.516 0.519
19 O 0.484 0.729 0.731
20 O 0.031 0.271 0.744
21 O 0.031 0.729 0.756
22 O 0.484 0.271 0.769
23 O 0.271 0.484 0.981
24 O 0.729 0.031 0.994
25 Zn 0.000 0.242 0.000
26 Zn 0.758 0.000 0.250
27 Zn 0.000 0.758 0.500
28 Zn 0.242 0.000 0.750

---

x | DFT (PBE) results for crystalline MgZnGeO4 at its relaxed geometry.

Cell lengths 5.865, 5.865, 8.288 Å; angles 90.00, 90.00, 90.00 degrees
Atoms (fractional coordinates):
1 Ge 0.752 0.248 0.125
2 Ge 0.752 0.752 0.375
3 Ge 0.248 0.752 0.625
4 Ge 0.248 0.248 0.875
5 Mg 0.000 0.749 0.000
6 Mg 0.251 0.000 0.250
7 Mg 0.000 0.251 0.500
8 Mg 0.749 0.000 0.750
9 O 0.245 0.001 0.002
10 O 0.755 0.500 0.004
11 O 0.500 0.245 0.246
12 O 0.999 0.755 0.248
13 O 0.999 0.245 0.252
14 O 0.500 0.755 0.254
15 O 0.755 0.500 0.496
16 O 0.245 0.999 0.498
17 O 0.755 0.999 0.502
18 O 0.245 0.500 0.504
19 O 0.500 0.755 0.746
20 O 0.001 0.245 0.748
21 O 0.001 0.755 0.752
22 O 0.500 0.245 0.754
23 O 0.245 0.500 0.996
24 O 0.755 0.001 0.998
25 Zn 0.500 0.751 0.000
26 Zn 0.249 0.500 0.250
27 Zn 0.500 0.249 0.500
28 Zn 0.751 0.500 0.750

---

y | DFT (PBE) results for crystalline MgZnGeO4 at its relaxed geometry.

Cell lengths 5.892, 5.892, 8.274 Å; angles 90.00, 90.00, 90.00 degrees
Atoms (fractional coordinates):
1 Ge 0.500 0.244 0.000
2 Ge 0.756 0.500 0.250
3 Ge 0.500 0.756 0.500
4 Ge 0.244 0.500 0.750
5 Mg 0.000 0.248 0.000
6 Mg 0.752 0.000 0.250
7 Mg 0.000 0.752 0.500
8 Mg 0.248 0.000 0.750
9 O 0.735 0.031 0.002
10 O 0.734 0.480 0.018
11 O 0.520 0.266 0.232
12 O 0.969 0.265 0.248
13 O 0.969 0.735 0.252
14 O 0.520 0.734 0.268
15 O 0.734 0.520 0.482
16 O 0.735 0.969 0.498
17 O 0.265 0.969 0.502
18 O 0.266 0.520 0.518
19 O 0.480 0.734 0.732
20 O 0.031 0.735 0.748
21 O 0.031 0.265 0.752
22 O 0.480 0.266 0.768
23 O 0.266 0.480 0.982
24 O 0.265 0.031 0.998
25 Zn 0.250 0.750 0.125
26 Zn 0.250 0.250 0.375
27 Zn 0.750 0.250 0.625
28 Zn 0.750 0.750 0.875

---

Most stable: y

---

w | DFT (PBE) results for crystalline MgSiGeOs at its relaxed geometry.

Cell lengths 4.436, 4.436, 4.436 Å; angles 60.00, 60.00, 60.00 degrees
Atoms (fractional coordinates):
1 Ge 0.500 0.500 0.500
2 Mg 0.750 0.750 0.750
3 Os 0.000 0.000 0.000
4 Si 0.250 0.250 0.250

Results
**Total magnetic moment**: 0.00 Bohr magnetons per cell

---

x | DFT (PBE) results for crystalline MgSiGeOs at its relaxed geometry.

Cell lengths 4.383, 4.383, 4.383 Å; angles 60.00, 60.00, 60.00 degrees
Atoms (fractional coordinates):
1 Ge 0.000 0.000 0.000
2 Mg 0.750 0.750 0.750
3 Os 0.250 0.250 0.250
4 Si 0.500 0.500 0.500

Results
**Total magnetic moment**: 0.00 Bohr magnetons per cell

---

Most stable: x

---

w | DFT (PBE) results for crystalline MgGeW at its relaxed geometry.

Cell lengths 4.405, 4.405, 4.405 Å; angles 60.00, 60.00, 60.00 degrees
Atoms (fractional coordinates):
1 Ge 0.250 0.250 0.250
2 Mg 0.750 0.750 0.750
3 W 0.000 0.000 0.000

Results
**Total magnetic moment**: 1.74 Bohr magnetons per cell

---

x | DFT (PBE) results for crystalline MgGeW at its relaxed geometry.

Cell lengths 4.304, 4.304, 4.304 Å; angles 60.00, 60.00, 60.00 degrees
Atoms (fractional coordinates):
1 Ge 0.000 0.000 0.000
2 Mg 0.250 0.250 0.250
3 W 0.750 0.750 0.750

Results
**Total magnetic moment**: 1.44 Bohr magnetons per cell

---

Most stable: x

---

w | DFT (PBE) results for crystalline GeMo2N at its relaxed geometry.

Cell lengths 5.284, 5.284, 13.364 Å; angles 103.59, 103.59, 61.55 degrees
Atoms (fractional coordinates):
1 Ge 0.565 0.805 0.247
2 Ge 0.914 0.086 0.250
3 Ge 0.195 0.435 0.253
4 Ge 0.805 0.565 0.747
5 Ge 0.086 0.914 0.750
6 Ge 0.435 0.195 0.753
7 Mo 0.850 0.698 0.084
8 Mo 0.178 0.048 0.088
9 Mo 0.480 0.397 0.111
10 Mo 0.603 0.520 0.389
11 Mo 0.952 0.822 0.412
12 Mo 0.302 0.150 0.416
13 Mo 0.698 0.850 0.584
14 Mo 0.048 0.178 0.588
15 Mo 0.397 0.480 0.611
16 Mo 0.520 0.603 0.889
17 Mo 0.822 0.952 0.912
18 Mo 0.150 0.302 0.916
19 N 0.500 0.000 0.000
20 N 0.774 0.341 0.015
21 N 0.659 0.226 0.485
22 N 0.000 0.500 0.500
23 N 0.341 0.774 0.515
24 N 0.226 0.659 0.985

Results
**Total magnetic moment**: 0.00 Bohr magnetons per cell

---

x | DFT (PBE) results for crystalline GeMo2N at its relaxed geometry.

Cell lengths 3.027, 3.027, 13.164 Å; angles 90.00, 90.00, 120.00 degrees
Atoms (fractional coordinates):
1 Ge 0.667 0.333 0.250
2 Ge 0.333 0.667 0.750
3 Mo 0.333 0.667 0.094
4 Mo 0.333 0.667 0.406
5 Mo 0.667 0.333 0.594
6 Mo 0.667 0.333 0.906
7 N 0.000 0.000 0.000
8 N 0.000 0.000 0.500

Results
**Total magnetic moment**: 0.00 Bohr magnetons per cell

---

Most stable: w

---

w | DFT (PBE) results for crystalline NaTcGeMo at its relaxed geometry.

Cell lengths 4.430, 4.430, 4.430 Å; angles 60.00, 60.00, 60.00 degrees
Atoms (fractional coordinates):
1 Ge 0.500 0.500 0.500
2 Mo 0.000 0.000 0.000
3 Na 0.750 0.750 0.750
4 Tc 0.250 0.250 0.250

Results
**Total magnetic moment**: 0.00 Bohr magnetons per cell

---

x | DFT (PBE) results for crystalline NaTcGeMo at its relaxed geometry.

Cell lengths 4.452, 4.452, 4.452 Å; angles 60.00, 60.00, 60.00 degrees
Atoms (fractional coordinates):
1 Ge 0.000 0.000 0.000
2 Mo 0.250 0.250 0.250
3 Na 0.750 0.750 0.750
4 Tc 0.500 0.500 0.500

Results
**Total magnetic moment**: 0.01 Bohr magnetons per cell

---

Most stable: w

---

w | DFT (PBE) results for crystalline SiGe2MoPt2 at its relaxed geometry.

Cell lengths 3.572, 9.474, 5.625 Å; angles 90.00, 90.00, 90.00 degrees
Atoms (fractional coordinates):
1 Ge 0.000 0.622 0.167
2 Ge 0.500 0.273 0.313
3 Ge 0.000 0.378 0.667
4 Ge 0.500 0.727 0.813
5 Mo 0.000 0.899 0.001
6 Mo 0.000 0.101 0.501
7 Pt 0.500 0.538 0.496
8 Pt 0.000 0.795 0.497
9 Pt 0.500 0.462 0.996
10 Pt 0.000 0.205 0.997
11 Si 0.500 0.937 0.326
12 Si 0.500 0.063 0.826

Results
**Total magnetic moment**: 0.00 Bohr magnetons per cell

---

x | DFT (PBE) results for crystalline SiGe2MoPt2 at its relaxed geometry.

Cell lengths 3.609, 9.387, 5.627 Å; angles 90.00, 90.00, 90.00 degrees
Atoms (fractional coordinates):
1 Ge 0.500 0.276 0.316
2 Ge 0.500 0.936 0.322
3 Ge 0.500 0.724 0.816
4 Ge 0.500 0.064 0.822
5 Mo 0.000 0.106 0.499
6 Mo 0.000 0.894 0.999
7 Pt 0.500 0.470 0.001
8 Pt 0.000 0.782 0.496
9 Pt 0.500 0.530 0.501
10 Pt 0.000 0.218 0.996
11 Si 0.000 0.622 0.164
12 Si 0.000 0.378 0.664

Results
**Total magnetic moment**: 0.02 Bohr magnetons per cell

---

y | DFT (PBE) results for crystalline SiGe2MoPt2 at its relaxed geometry.

Cell lengths 3.621, 9.342, 5.621 Å; angles 90.00, 90.00, 90.00 degrees
Atoms (fractional coordinates):
1 Ge 0.000 0.123 0.161
2 Ge 0.500 0.437 0.321
3 Ge 0.000 0.877 0.661
4 Ge 0.500 0.563 0.821
5 Mo 0.000 0.608 0.498
6 Mo 0.000 0.392 0.998
7 Pt 0.000 0.712 0.013
8 Pt 0.500 0.037 0.499
9 Pt 0.000 0.288 0.513
10 Pt 0.500 0.963 0.999
11 Si 0.500 0.777 0.308
12 Si 0.500 0.223 0.808

Results
**Total magnetic moment**: 0.02 Bohr magnetons per cell

---

Most stable: w

---

w | DFT (PBE) results for crystalline GeTeMo at its relaxed geometry.

Cell lengths 4.567, 4.567, 4.567 Å; angles 60.00, 60.00, 60.00 degrees
Atoms (fractional coordinates):
1 Ge 0.250 0.250 0.250
2 Mo 0.000 0.000 0.000
3 Te 0.750 0.750 0.750

Results
**Total magnetic moment**: 1.70 Bohr magnetons per cell

---

x | DFT (PBE) results for crystalline GeTeMo at its relaxed geometry.

Cell lengths 4.514, 4.514, 4.514 Å; angles 60.00, 60.00, 60.00 degrees
Atoms (fractional coordinates):
1 Ge 0.000 0.000 0.000
2 Mo 0.250 0.250 0.250
3 Te 0.750 0.750 0.750

Results
**Total magnetic moment**: 0.03 Bohr magnetons per cell

---

Most stable: w

---

w | DFT (PBE) results for crystalline NdGeNO at its relaxed geometry.

Cell lengths 6.636, 6.740, 5.591 Å; angles 90.00, 90.00, 90.00 degrees
Atoms (fractional coordinates):
1 Ge 0.394 0.175 0.474
2 Ge 0.894 0.825 0.474
3 Ge 0.106 0.175 0.974
4 Ge 0.606 0.825 0.974
5 N 0.912 0.372 0.039
6 N 0.412 0.628 0.039
7 N 0.588 0.372 0.539
8 N 0.088 0.628 0.539
9 Nd 0.932 0.312 0.468
10 Nd 0.432 0.688 0.468
11 Nd 0.568 0.312 0.968
12 Nd 0.068 0.688 0.968
13 O 0.536 0.019 0.222
14 O 0.036 0.981 0.222
15 O 0.964 0.019 0.722
16 O 0.464 0.981 0.722

Results
**Total magnetic moment**: 0.01 Bohr magnetons per cell

---

x | DFT (PBE) results for crystalline NdGeNO at its relaxed geometry.

Cell lengths 3.737, 5.152, 6.964 Å; angles 90.00, 90.00, 90.00 degrees
Atoms (fractional coordinates):
1 Ge 0.500 0.964 0.255
2 Ge 0.500 0.464 0.745
3 N 0.000 0.008 0.372
4 N 0.000 0.508 0.628
5 Nd 0.000 0.489 0.290
6 Nd 0.000 0.989 0.710
7 O 0.500 0.293 0.147
8 O 0.500 0.793 0.853

Results
**Total magnetic moment**: 0.00 Bohr magnetons per cell

---

Most stable: w